1.
The following is a PBE calculation of a geometry-optimized NiMoBr2 structure, from the Alexandria database.

```
NiMoBr2
1.0
3.2515 0.0000 0.0000
0.0000 4.1436 0.0000
0.0000 0.0000 5.9183
Ni Mo Br
1 1 2
Direct
0.0000 0.0000 0.0000
0.5000 0.0000 0.5000
0.0000 0.5000 0.5000
0.5000 0.5000 0.0000
```

Values from the calculation:
Polymorph energy (0 for the lowest one) in eV per atom: 0.788
Energy in eV per atom: -4.16
Raw formation energy in eV per atom: 0.830

2.
The following is a PBE calculation of a geometry-optimized Pr7Sn5Pb structure, from the Alexandria database.

```
Pr7Sn5Pb
1.0
-3.2019 5.8626 5.5010
3.2019 -5.8626 5.5010
3.2019 5.8626 -5.5010
Pr Sn Pb
7 5 1
Direct
0.0000 0.0000 0.0000
0.2868 0.6170 0.6698
0.3918 0.3918 0.0000
0.4370 0.0993 0.3377
0.7617 0.0993 0.6623
0.8435 0.3435 0.5000
0.9472 0.6170 0.3302
0.1063 0.1136 0.4943
0.1063 0.6121 0.9927
0.3525 0.8525 0.5000
0.6194 0.1136 0.0073
0.6194 0.6121 0.5057
0.6918 0.6918 0.0000
```

Values from the calculation:
Energy in eV per atom: -4.91
Energy of formation from the pure elements in eV per atom: -0.51

3.
The following is a PBE calculation of a geometry-optimized ErThSi2 structure, from the Alexandria database.

```
ErThSi2
1.0
3.9444 0.0000 0.0000
0.0000 4.3279 0.0000
0.0000 0.0000 10.7041
Er Th Si
2 2 4
Direct
0.0000 0.0000 0.0000
0.0000 0.5000 0.5000
0.5000 0.0000 0.2798
0.5000 0.5000 0.7798
0.0000 0.0000 0.7135
0.0000 0.5000 0.2135
0.5000 0.0000 0.5626
0.5000 0.5000 0.0626
```

Values from the calculation:
Polymorph energy (0 for the lowest one) in eV per atom: 0.013
Energy in eV per atom: -6.43
Raw formation energy in eV per atom: -0.720

4.
The following is a PBE calculation of a geometry-optimized CeSi2Tc2Ru structure, from the Alexandria database.

```
CeSi2Tc2Ru
1.0
4.5919 0.0000 0.0000
0.0000 4.5919 0.0000
0.0000 0.0000 5.1806
Ce Si Tc Ru
1 2 2 1
Direct
0.0000 0.0000 0.0000
0.0000 0.5000 0.5000
0.5000 0.0000 0.5000
0.5000 0.5000 0.2299
0.5000 0.5000 0.7701
0.0000 0.0000 0.5000
```

Values from the calculation:
Energy in eV per atom: -7.77
Raw formation energy in eV per atom: 0.033

Which of these has the lowest energy? CeSi2Tc2Ru

Which formula does entry 1 have? NiMoBr2

Please write out number 4 again, unchanged.
The following is a PBE calculation of a geometry-optimized CeSi2Tc2Ru structure, from the Alexandria database.

```
CeSi2Tc2Ru
1.0
4.5919 0.0000 0.0000
0.0000 4.5919 0.0000
0.0000 0.0000 5.1806
Ce Si Tc Ru
1 2 2 1
Direct
0.0000 0.0000 0.0000
0.0000 0.5000 0.5000
0.5000 0.0000 0.5000
0.5000 0.5000 0.2299
0.5000 0.5000 0.7701
0.0000 0.0000 0.5000
```

Values from the calculation:
Energy in eV per atom: -7.77
Raw formation energy in eV per atom: 0.033